Computed, not measured: an optimized crystal structure of KBaIn at the PBE level of DFT.

Cell: 6.0431 6.0431 6.0431 Å, 60.00 60.00 60.00°
Last column: nearest neighbours and their distance in Å.
Element x y z (fractional)
K 0.0000 0.0000 0.0000  4 In 3.70
Ba 0.5000 0.5000 0.5000  4 In 3.70
In 0.7500 0.7500 0.7500  4 K 3.70, 4 Ba 3.70

Computed properties:
- space-group type = F-43m
- calculated volume (Å³ per cell) = 156.1
- total magnetization (μB/cell) = 1.512
- energy above the most stable polymorph in this dataset (eV/atom) = 0.217
- energy relative to the elements (eV/atom) = -0.016

***

Computed, not measured: an optimized crystal structure of KBa2In at the PBE level of DFT.

Cell: 4.3189 4.3391 11.3438 Å, 90.00 90.00 90.00°
Last column: nearest neighbours and their distance in Å.
Element x y z (fractional)
K 0.0000 0.0000 0.0000  4 K 4.32-4.34, 8 Ba 4.78
Ba 0.5000 0.5000 0.3242  4 In 3.65, 1 Ba 3.99
Ba 0.5000 0.5000 0.6758  4 In 3.65, 1 Ba 3.99
In 0.0000 0.0000 0.5000  8 Ba 3.65

Computed properties:
- space-group type = Pmmm
- calculated volume (Å³ per cell) = 212.6
- total magnetization (μB/cell) = 0.000
- energy relative to the elements (eV/atom) = -0.219

***

- Which value of total magnetization does entry 2 give?
  0.000 μB/cell

***

What did the second record say?
Computed, not measured: an optimized crystal structure of KBa2In at the PBE level of DFT.

Cell: 4.3189 4.3391 11.3438 Å, 90.00 90.00 90.00°
Last column: nearest neighbours and their distance in Å.
Element x y z (fractional)
K 0.0000 0.0000 0.0000  4 K 4.32-4.34, 8 Ba 4.78
Ba 0.5000 0.5000 0.3242  4 In 3.65, 1 Ba 3.99
Ba 0.5000 0.5000 0.6758  4 In 3.65, 1 Ba 3.99
In 0.0000 0.0000 0.5000  8 Ba 3.65

Computed properties:
- space-group type = Pmmm
- calculated volume (Å³ per cell) = 212.6
- total magnetization (μB/cell) = 0.000
- energy relative to the elements (eV/atom) = -0.219